(1)
A geometry-optimized Ce3Si8Tc3 structure, computed with GGA-PBE.

Results
As for the uncorrected formation energy: -0.519 eV per atom. The value obtained for the total moment is 0.2 μB per cell.

Cell lengths 7.910, 7.910, 7.910 Å; angles 149.42, 102.91, 85.17 degrees
Element x y z (fractional)
Ce 0.000 0.000 0.000
Ce 0.321 0.321 0.000
Ce 0.679 0.679 0.000
Si 0.036 0.669 0.367
Si 0.160 0.877 0.283
Si 0.301 0.669 0.633
Si 0.406 0.123 0.283
Si 0.594 0.877 0.717
Si 0.699 0.331 0.367
Si 0.840 0.123 0.717
Si 0.964 0.331 0.633
Tc 0.276 0.500 0.776
Tc 0.500 0.000 0.500
Tc 0.724 0.500 0.224


(2)
A geometry-optimized Ce3Si2Tc structure, computed with GGA-PBE.

Results
The value obtained for the polymorph energy (0 for the lowest one) is 171 meV/atom. As for the uncorrected formation energy: -0.346 eV per atom. The value obtained for the total moment is 0.0 μB per cell.

Cell lengths 6.988, 6.988, 6.988 Å; angles 69.02, 69.02, 69.02 degrees
Element x y z (fractional)
Ce 0.099 0.750 0.401
Ce 0.250 0.599 0.901
Ce 0.401 0.099 0.750
Ce 0.599 0.901 0.250
Ce 0.750 0.401 0.099
Ce 0.901 0.250 0.599
Si 0.170 0.170 0.170
Si 0.330 0.330 0.330
Si 0.670 0.670 0.670
Si 0.830 0.830 0.830
Tc 0.000 0.000 0.000
Tc 0.500 0.500 0.500


(3)
A geometry-optimized Ce6SiTc3 structure, computed with GGA-PBE.

Results
As for the uncorrected formation energy: -0.075 eV per atom. The value obtained for the total moment is 2.8 μB per cell.

Cell lengths 11.248, 4.017, 11.631 Å; angles 90.00, 107.67, 90.00 degrees
Element x y z (fractional)
Ce 0.043 0.250 0.389
Ce 0.118 0.250 0.945
Ce 0.232 0.750 0.263
Ce 0.281 0.750 0.745
Ce 0.395 0.250 0.533
Ce 0.419 0.750 0.092
Ce 0.581 0.250 0.908
Ce 0.605 0.750 0.467
Ce 0.719 0.250 0.255
Ce 0.768 0.250 0.737
Ce 0.882 0.750 0.055
Ce 0.957 0.750 0.611
Si 0.446 0.250 0.291
Si 0.554 0.750 0.709
Tc 0.038 0.250 0.181
Tc 0.201 0.750 0.521
Tc 0.328 0.250 0.904
Tc 0.672 0.750 0.096
Tc 0.799 0.250 0.479
Tc 0.962 0.750 0.819


(4)
A geometry-optimized Ce2Si4Tc3 structure, computed with GGA-PBE.

Results
The value obtained for the polymorph energy (0 for the lowest one) is 236 meV/atom. As for the uncorrected formation energy: -0.417 eV per atom. The value obtained for the total moment is 0.0 μB per cell.

Cell lengths 7.877, 6.648, 5.630 Å; angles 79.33, 56.05, 44.62 degrees
Element x y z (fractional)
Ce 0.136 0.136 0.864
Ce 0.864 0.864 0.136
Si 0.156 0.518 0.482
Si 0.482 0.844 0.156
Si 0.518 0.156 0.844
Si 0.844 0.482 0.518
Tc 0.000 0.000 0.500
Tc 0.500 0.500 0.000
Tc 0.500 0.500 0.500


(5)
A geometry-optimized Ce6Si2Tc structure, computed with GGA-PBE.

Results
As for the uncorrected formation energy: -0.354 eV per atom. The value obtained for the total moment is 2.6 μB per cell.

Cell lengths 7.915, 7.915, 4.023 Å; angles 90.00, 90.00, 120.00 degrees
Element x y z (fractional)
Ce 0.000 0.254 0.000
Ce 0.000 0.577 0.500
Ce 0.254 0.000 0.000
Ce 0.423 0.423 0.500
Ce 0.577 0.000 0.500
Ce 0.746 0.746 0.000
Si 0.333 0.667 0.000
Si 0.667 0.333 0.000
Tc 0.000 0.000 0.500


(6)
A geometry-optimized CeSi3Tc structure, computed with GGA-PBE.

Results
The value obtained for the polymorph energy (0 for the lowest one) is 135 meV/atom. As for the uncorrected formation energy: -0.425 eV per atom. The value obtained for the total moment is 0.6 μB per cell.

Cell lengths 6.419, 6.419, 6.419 Å; angles 129.89, 96.75, 103.96 degrees
Element x y z (fractional)
Ce 0.298 0.048 0.250
Ce 0.702 0.952 0.750
Si 0.098 0.348 0.750
Si 0.230 0.000 0.730
Si 0.230 0.500 0.230
Si 0.770 0.000 0.270
Si 0.770 0.500 0.770
Si 0.902 0.652 0.250
Tc 0.000 0.500 0.500
Tc 0.500 0.500 0.000


(7)
A geometry-optimized CeVSi2Tc structure, computed with GGA-PBE.

Results
As for the uncorrected formation energy: -0.600 eV per atom. The value obtained for the total moment is 0.6 μB per cell.

Cell lengths 3.970, 3.970, 10.922 Å; angles 90.00, 90.00, 90.00 degrees
Element x y z (fractional)
Ce 0.000 0.000 0.000
Ce 0.500 0.500 0.500
V 0.000 0.500 0.250
V 0.500 0.000 0.750
Si 0.000 0.000 0.387
Si 0.000 0.000 0.613
Si 0.500 0.500 0.113
Si 0.500 0.500 0.887
Tc 0.000 0.500 0.750
Tc 0.500 0.000 0.250


(8)
A geometry-optimized Ce6SiTe3 structure, computed with GGA-PBE.

Results
As for the uncorrected formation energy: -0.759 eV per atom. The value obtained for the total moment is 18.0 μB per cell.

Cell lengths 7.248, 8.559, 12.215 Å; angles 90.00, 124.73, 90.00 degrees
Element x y z (fractional)
Ce 0.044 0.078 0.241
Ce 0.044 0.422 0.741
Ce 0.196 0.691 0.058
Ce 0.196 0.809 0.558
Ce 0.395 0.167 0.057
Ce 0.395 0.333 0.557
Ce 0.605 0.667 0.443
Ce 0.605 0.833 0.943
Ce 0.804 0.191 0.442
Ce 0.804 0.309 0.942
Ce 0.956 0.578 0.259
Ce 0.956 0.922 0.759
Si 0.000 0.000 0.000
Si 0.000 0.500 0.500
Te 0.315 0.123 0.750
Te 0.315 0.377 0.250
Te 0.500 0.000 0.500
Te 0.500 0.500 0.000
Te 0.685 0.623 0.750
Te 0.685 0.877 0.250


(9)
A geometry-optimized Ce5SiTe4 structure, computed with GGA-PBE.

Results
As for the uncorrected formation energy: -1.224 eV per atom. The value obtained for the total moment is 5.3 μB per cell.

Cell lengths 7.693, 7.693, 7.693 Å; angles 99.60, 99.60, 131.80 degrees
Element x y z (fractional)
Ce 0.000 0.000 0.000
Ce 0.218 0.402 0.621
Ce 0.402 0.782 0.184
Ce 0.598 0.218 0.816
Ce 0.782 0.598 0.379
Si 0.500 0.500 0.000
Te 0.093 0.696 0.789
Te 0.304 0.093 0.397
Te 0.696 0.907 0.603
Te 0.907 0.304 0.211


(10)
A geometry-optimized Ce6SiTe5 structure, computed with GGA-PBE.

Results
As for the uncorrected formation energy: -1.258 eV per atom. The value obtained for the total moment is 6.4 μB per cell.

Cell lengths 7.712, 7.712, 7.689 Å; angles 99.62, 99.62, 119.83 degrees
Element x y z (fractional)
Ce 0.078 0.392 0.735
Ce 0.231 0.231 0.256
Ce 0.392 0.078 0.735
Ce 0.608 0.922 0.265
Ce 0.769 0.769 0.744
Ce 0.922 0.608 0.265
Si 0.000 0.000 0.500
Te 0.175 0.825 0.000
Te 0.335 0.665 0.500
Te 0.500 0.500 0.000
Te 0.665 0.335 0.500
Te 0.825 0.175 0.000


Which of these has the highest total moment? Ce6SiTe3